Compound: ZnW
Source: Alexandria
Functional: PBE
Structure: optimized geometry

Calculated values
E_tot: -13.17 eV per cell
energy relative to the elements: 0.527 eV per atom
density of states at the Fermi level: 0.672 states/eV/atom
symmetry: P4/mmm

abc: 3.343 3.343 2.684
angles: 90.00 90.00 90.00
Positions (direct):
Zn  0.000  0.000  0.000
W  0.500  0.500  0.500